Record 1
A relaxed Hg4BiI2Br crystal, computed with PBE.

Cell: 9.6736 9.6736 9.6736 Å, 127.84 124.97 79.24°
Closest atoms and distances in Å follow each position.
Positions (direct):
Hg 0.2472 0.2424 0.0048  2 Bi 3.06, 2 I 3.12
Hg 0.2623 0.7576 0.5048  2 Bi 3.06, 2 I 3.12
Hg 0.2994 0.3132 0.5138  1 Bi 2.99, 2 Br 3.09, 2 I 3.25
Hg 0.2994 0.7856 0.9862  1 Bi 2.99, 2 Br 3.09, 2 I 3.25
Hg 0.7006 0.2144 0.0138  1 Bi 2.99, 2 Br 3.09, 2 I 3.25
Hg 0.7006 0.6868 0.4862  1 Bi 2.99, 2 Br 3.09, 2 I 3.25
Hg 0.7377 0.2424 0.4952  2 Bi 3.06, 2 I 3.12
Hg 0.7528 0.7576 0.9952  2 Bi 3.06, 2 I 3.12
Bi 0.5000 0.0000 0.0000  6 Hg 2.99-3.06
Bi 0.5000 0.5000 0.5000  6 Hg 2.99-3.06
I 0.0000 0.0000 0.0000  6 Hg 3.25-3.61
I 0.0000 0.0000 0.5000  4 Hg 3.12
I 0.0000 0.5000 0.0000  4 Hg 3.12
I 0.5000 0.0000 0.5000  6 Hg 3.25-3.61
Br 0.0000 0.5000 0.5000  4 Hg 3.09
Br 0.5000 0.5000 0.0000  4 Hg 3.09

Output
V   283.2 Å³/f.u.
Electronic total energy   -1.365 eV per atom
Uncorrected formation energy   -0.132 eV per atom
Space-group type   Imma, No. 74

Record 2
A relaxed HgBiIBr2 crystal, computed with PBE.

Cell: 5.7626 5.7626 6.1595 Å, 90.00 90.00 90.00°
Closest atoms and distances in Å follow each position.
Positions (direct):
Hg 0.0000 0.0000 0.0000  4 I 4.07, 8 Br 4.22
Bi 0.5000 0.5000 0.5000  4 Br 2.88, 2 I 3.08
I 0.5000 0.5000 0.0000  2 Bi 3.08
Br 0.0000 0.5000 0.5000  2 Bi 2.88
Br 0.5000 0.0000 0.5000  2 Bi 2.88

Output
V   204.5 Å³/f.u.
Electronic total energy   -2.179 eV per atom
Uncorrected formation energy   -0.363 eV per atom
Space-group type   P4/mmm, No. 123